Material: Mg6ZrC
Method: DFT, GGA-PBE
State: relaxed Values from VASP.

Structure (Quantum ESPRESSO input):
```
&SYSTEM
  ibrav = 0, nat = 8, ntyp = 3
/
ATOMIC_SPECIES
Mg 24.30 Mg.upf
Zr 91.22 Zr.upf
C 12.01 C.upf
CELL_PARAMETERS angstrom
4.653 0.000 0.000
0.000 2.728 6.167
0.000 -2.728 6.167
ATOMIC_POSITIONS angstrom
Mg 0.000 0.000 0.000
Mg 0.000 0.000 5.548
Mg 0.000 -1.385 9.070
Mg 0.000 1.385 9.070
Mg 2.326 -1.379 7.448
Mg 2.326 1.379 7.448
Zr 2.326 0.000 10.416
C 2.326 0.000 3.321
```

## Properties
ΔE_f, meV per atom: 485
Crystal system: orthorhombic
E above lowest polymorph, meV per atom: 269
Density of states at the Fermi level, states/eV per cell: 3.31
Electronic total energy, Ha/atom: -0.108

=====

Material: Mg3ZrC
Method: DFT, GGA-PBE
State: relaxed Values from VASP.

Structure (Quantum ESPRESSO input):
```
&SYSTEM
  ibrav = 0, nat = 5, ntyp = 3
/
ATOMIC_SPECIES
Mg 24.30 Mg.upf
Zr 91.22 Zr.upf
C 12.01 C.upf
CELL_PARAMETERS angstrom
5.846 0.000 0.000
0.000 5.846 0.000
0.000 0.000 5.846
ATOMIC_POSITIONS angstrom
Mg 0.000 0.000 2.923
Mg 0.000 2.923 0.000
Mg 2.923 0.000 0.000
Zr 0.000 0.000 0.000
C 2.923 2.923 2.923
```

## Properties
ΔE_f, meV per atom: 2452
Crystal system: cubic
E above lowest polymorph, meV per atom: 1931
Density of states at the Fermi level, states/eV per cell: 11.89
Electronic total energy, Ha/atom: -0.076

=====

Material: MgZrC2
Method: DFT, GGA-PBE
State: relaxed Values from VASP.

Structure (Quantum ESPRESSO input):
```
&SYSTEM
  ibrav = 0, nat = 8, ntyp = 3
/
ATOMIC_SPECIES
Mg 24.30 Mg.upf
Zr 91.22 Zr.upf
C 12.01 C.upf
CELL_PARAMETERS angstrom
-2.916 2.916 3.239
2.916 -2.916 3.239
2.916 2.916 -3.239
ATOMIC_POSITIONS angstrom
Mg 0.000 0.000 0.000
Mg 0.000 2.916 1.619
Zr 2.916 0.000 1.619
Zr 0.000 0.000 3.239
C 4.374 1.449 -0.810
C 1.449 1.458 0.810
C -1.458 1.467 2.429
C 1.467 1.458 4.048
```

## Properties
ΔE_f, meV per atom: 595
Crystal system: tetragonal
Density of states at the Fermi level, states/eV per cell: 6.16
Electronic total energy, Ha/atom: -0.241

=====

Material: Mg3ZrC
Method: DFT, GGA-PBE
State: relaxed Values from VASP.

Structure (Quantum ESPRESSO input):
```
&SYSTEM
  ibrav = 0, nat = 5, ntyp = 3
/
ATOMIC_SPECIES
Mg 24.30 Mg.upf
Zr 91.22 Zr.upf
C 12.01 C.upf
CELL_PARAMETERS angstrom
4.495 0.000 0.000
0.000 4.495 0.000
0.000 0.000 4.495
ATOMIC_POSITIONS angstrom
Mg 0.000 0.000 2.248
Mg 0.000 2.248 0.000
Mg 2.248 0.000 0.000
Zr 2.248 2.248 2.248
C 0.000 0.000 0.000
```

## Properties
ΔE_f, meV per atom: 522
Crystal system: cubic
E above lowest polymorph, meV per atom: 0
Density of states at the Fermi level, states/eV per cell: 3.51
Electronic total energy, Ha/atom: -0.147

=====

Material: MnC2
Method: DFT, GGA-PBE
State: relaxed Values from VASP.

Structure (Quantum ESPRESSO input):
```
&SYSTEM
  ibrav = 0, nat = 3, ntyp = 2
/
ATOMIC_SPECIES
Mn 54.94 Mn.upf
C 12.01 C.upf
CELL_PARAMETERS angstrom
2.952 -1.272 0.000
2.952 1.272 0.000
-1.537 0.000 3.456
ATOMIC_POSITIONS angstrom
Mn 0.000 0.000 0.000
C 1.056 0.000 1.847
C 4.270 0.000 1.192
```

## Properties
ΔE_f, meV per atom: 651
Crystal system: monoclinic
E above lowest polymorph, meV per atom: 145
Density of states at the Fermi level, states/eV per cell: 1.53
Electronic total energy, Ha/atom: -0.314

=====

Material: Mn3C
Method: DFT, GGA-PBE
State: relaxed Values from VASP.

Structure (Quantum ESPRESSO input):
```
&SYSTEM
  ibrav = 0, nat = 4, ntyp = 2
/
ATOMIC_SPECIES
Mn 54.94 Mn.upf
C 12.01 C.upf
CELL_PARAMETERS angstrom
-1.320 3.397 2.101
1.320 -3.397 2.101
1.320 3.397 -2.101
ATOMIC_POSITIONS angstrom
Mn 0.000 0.000 0.000
Mn 1.320 2.087 -0.044
Mn 0.000 1.310 2.058
C 0.000 3.397 0.723
```

## Properties
ΔE_f, meV per atom: 57
Crystal system: orthorhombic
Density of states at the Fermi level, states/eV per cell: 3.72
Electronic total energy, Ha/atom: -0.335